(1)
Material: CrP2F2
Method: DFT, PBE+U
State: optimized geometry

Properties
Uncorrected energy: -5.276 eV per atom
Distance to the lowest polymorph of the same formula: 0.0 kJ/mol of atoms

Cell lengths 9.3809, 9.3809, 9.3809 Å; angles 161.11, 161.11, 26.84 degrees
With the nearest neighbours (Å) after each atom.
Positions (direct):
1 Cr 0.0000 0.0000 0.0000  8 F 2.46
2 P 0.2500 0.7500 0.5000  4 P 2.18
3 P 0.7500 0.2500 0.5000  4 P 2.18
4 F 0.4374 0.4374 0.0000  1 F 2.29, 4 Cr 2.46
5 F 0.5626 0.5626 0.0000  1 F 2.29, 4 Cr 2.46



(2)
Material: CrPF2
Method: DFT, PBE+U
State: optimized geometry

Properties
Uncorrected energy: -5.132 eV per atom
Distance to the lowest polymorph of the same formula: 0.0 kJ/mol of atoms

Cell lengths 5.5222, 5.5222, 5.5222 Å; angles 102.37, 102.37, 124.85 degrees
With the nearest neighbours (Å) after each atom.
Positions (direct):
1 Cr 0.0000 0.0000 0.0000  4 F 2.03
2 Cr 0.7500 0.2500 0.5000  4 F 2.03
3 P 0.2500 0.7500 0.5000  2 Cr 2.56, 4 F 2.71
4 P 0.5000 0.5000 0.0000  2 Cr 2.56, 4 F 2.71
5 F 0.3750 0.2459 0.3709  2 Cr 2.03
6 F 0.7541 0.1250 0.1291  2 Cr 2.03
7 F 0.8750 0.0041 0.6291  2 Cr 2.03
8 F 0.9959 0.6250 0.8709  2 Cr 2.03



(3)
Material: Cr2PF
Method: DFT, PBE+U
State: optimized geometry

Properties
Uncorrected energy: -6.196 eV per atom
Distance to the lowest polymorph of the same formula: 10.0 kJ/mol of atoms

Cell lengths 4.3176, 4.3176, 4.3176 Å; angles 60.00, 60.00, 60.00 degrees
With the nearest neighbours (Å) after each atom.
Positions (direct):
1 Cr 0.2500 0.2500 0.2500  4 F 2.64, 4 P 2.64
2 Cr 0.7500 0.7500 0.7500  4 F 2.64, 4 P 2.64
3 P 0.0000 0.0000 0.0000  8 Cr 2.64
4 F 0.5000 0.5000 0.5000  8 Cr 2.64



(4)
Material: Rb2CrPF6
Method: DFT, PBE+U
State: optimized geometry

Properties
Uncorrected energy: -4.897 eV per atom

Cell lengths 6.6497, 6.6497, 6.6497 Å; angles 127.49, 127.49, 77.45 degrees
With the nearest neighbours (Å) after each atom.
Positions (direct):
1 Rb 0.2500 0.7500 0.5000  12 F 3.00-3.33
2 Rb 0.7500 0.2500 0.5000  12 F 3.00-3.33
3 Cr 0.0000 0.0000 0.0000  6 F 1.98-2.21
4 P 0.5000 0.5000 0.0000  4 F 1.95
5 F 0.1911 0.1911 0.0000  1 Cr 1.98
6 F 0.2657 0.2657 0.5314  1 P 1.95
7 F 0.2657 0.7343 0.0000  1 P 1.95
8 F 0.7343 0.2657 0.0000  1 P 1.95
9 F 0.7343 0.7343 0.4686  1 P 1.95
10 F 0.8089 0.8089 0.0000  1 Cr 1.98



(5)
Material: CrP2SF
Method: DFT, PBE+U
State: optimized geometry

Properties
Uncorrected energy: -3.744 eV per atom
Distance to the lowest polymorph of the same formula: 57.4 kJ/mol of atoms

Cell lengths 4.0723, 4.0723, 4.9588 Å; angles 90.00, 90.00, 90.00 degrees
With the nearest neighbours (Å) after each atom.
Positions (direct):
1 Cr 0.0000 0.0000 0.0000  4 S 2.88, 8 P 3.21
2 P 0.0000 0.5000 0.5000  2 F 2.04
3 P 0.5000 0.0000 0.5000  2 F 2.04
4 S 0.5000 0.5000 0.0000  2 F 2.48
5 F 0.5000 0.5000 0.5000  4 P 2.04



(6)
Material: CrP2SF
Method: DFT, PBE+U
State: optimized geometry

Properties
Uncorrected energy: -4.339 eV per atom
Distance to the lowest polymorph of the same formula: 0.0 kJ/mol of atoms

Cell lengths 4.5110, 4.5110, 4.4411 Å; angles 90.00, 90.00, 90.00 degrees
With the nearest neighbours (Å) after each atom.
Positions (direct):
1 Cr 0.0000 0.0000 0.0000  2 S 2.22, 4 P 2.26
2 P 0.0000 0.5000 0.0000  2 Cr 2.26
3 P 0.5000 0.0000 0.0000  2 Cr 2.26
4 S 0.0000 0.0000 0.5000  2 Cr 2.22
5 F 0.5000 0.5000 0.5000  8 P 3.17, 4 S 3.19



(7)
Material: CrP2WF
Method: DFT, PBE+U
State: optimized geometry

Properties
Uncorrected energy: -5.604 eV per atom

Cell lengths 4.8361, 4.8361, 4.1349 Å; angles 90.00, 90.00, 90.00 degrees
With the nearest neighbours (Å) after each atom.
Positions (direct):
1 Cr 0.0000 0.0000 0.0000  8 P 3.18, 4 F 3.42
2 P 0.0000 0.5000 0.5000  2 W 2.42
3 P 0.5000 0.0000 0.5000  2 W 2.42
4 W 0.5000 0.5000 0.5000  2 F 2.07
5 F 0.5000 0.5000 0.0000  2 W 2.07



(8)
Material: Zr2CrPF
Method: DFT, PBE+U
State: optimized geometry

Properties
Uncorrected energy: -6.072 eV per atom

Cell lengths 4.8607, 4.8607, 4.2779 Å; angles 90.00, 90.00, 90.00 degrees
With the nearest neighbours (Å) after each atom.
Positions (direct):
1 Zr 0.0000 0.5000 0.0000  2 Cr 2.43
2 Zr 0.5000 0.0000 0.0000  2 Cr 2.43
3 Cr 0.0000 0.0000 0.0000  2 P 2.14
4 P 0.0000 0.0000 0.5000  2 Cr 2.14
5 F 0.5000 0.5000 0.5000  8 Zr 3.24, 4 P 3.44